Below is a relaxed structure of Ag2TeP2, with properties calculated at the PBE level.

a b c (Å): 8.738 8.738 8.738
angles (deg): 157.12 157.12 32.57
Positions (direct):
Ag 0.111 0.111 0.000
Ag 0.889 0.889 0.000
Te 0.500 0.500 0.000
P 0.250 0.750 0.500
P 0.750 0.250 0.500

Output
D(E_F)   0.51 states/eV per atom
Formation energy from raw total energies   0.3032 eV/atom
Magnetization   0.00 μB/atom
Final energy   -18.148 eV/cell


Below is a relaxed structure of Cs5Tc2S6, with properties calculated at the PBE level.

a b c (Å): 7.900 7.900 17.901
angles (deg): 100.45 100.45 65.49
Positions (direct):
Cs 0.116 0.884 0.750
Cs 0.177 0.694 0.002
Cs 0.265 0.423 0.280
Cs 0.306 0.823 0.498
Cs 0.423 0.265 0.780
Cs 0.577 0.735 0.220
Cs 0.694 0.177 0.502
Cs 0.735 0.577 0.720
Cs 0.823 0.306 0.998
Cs 0.884 0.116 0.250
Tc 0.114 0.418 0.566
Tc 0.418 0.114 0.066
Tc 0.582 0.886 0.934
Tc 0.886 0.582 0.434
S 0.097 0.210 0.636
S 0.147 0.308 0.441
S 0.210 0.097 0.136
S 0.308 0.147 0.941
S 0.360 0.490 0.624
S 0.490 0.360 0.124
S 0.510 0.640 0.876
S 0.640 0.510 0.376
S 0.692 0.853 0.059
S 0.790 0.903 0.864
S 0.853 0.692 0.559
S 0.903 0.790 0.364

Output
D(E_F)   0.57 states/eV per atom
Formation energy from raw total energies   -0.8464 eV/atom
Magnetization   0.23 μB/atom
Final energy   -121.536 eV/cell


Below is a relaxed structure of InTc2Cl, with properties calculated at the PBE level.

a b c (Å): 4.545 4.545 4.545
angles (deg): 60.00 60.00 60.00
Positions (direct):
In 0.000 0.000 0.000
Tc 0.250 0.250 0.250
Tc 0.750 0.750 0.750
Cl 0.500 0.500 0.500

Output
D(E_F)   1.26 states/eV per atom
Energy above the lowest structure with this stoichiometry   383 kJ/mol of formula units
Formation energy from raw total energies   0.9685 eV/atom
Magnetization   0.00 μB/atom
Final energy   -21.443 eV/cell


Below is a relaxed structure of KSiAu2, with properties calculated at the PBE level.

a b c (Å): 2.914 4.188 7.470
angles (deg): 90.00 90.00 90.00
Positions (direct):
K 0.000 0.000 0.000
Si 0.500 0.500 0.345
Au 0.000 0.000 0.454
Au 0.500 0.500 0.692

Output
D(E_F)   0.40 states/eV per atom
Formation energy from raw total energies   0.0495 eV/atom
Magnetization   0.00 μB/atom
Final energy   -12.877 eV/cell


Below is a relaxed structure of CaReNi2, with properties calculated at the PBE level.

a b c (Å): 5.613 5.613 5.613
angles (deg): 152.25 132.35 56.04
Positions (direct):
Ca 0.000 0.000 0.000
Re 0.712 0.212 0.500
Ni 0.274 0.774 0.500
Ni 0.493 0.493 0.000

Output
D(E_F)   1.16 states/eV per atom
Formation energy   130 kJ/mol of formula units
Energy above the lowest structure with this stoichiometry   63 kJ/mol of formula units
Magnetization   0.00 μB/atom
Final energy   -24.660 eV/cell


Below is a relaxed structure of SmNiC2, with properties calculated at the PBE level.

a b c (Å): 3.748 3.789 3.789
angles (deg): 73.56 90.00 90.00
Positions (direct):
Sm 0.000 0.000 0.000
Ni 0.500 0.612 0.612
C 0.500 0.150 0.452
C 0.500 0.452 0.150

Output
D(E_F)   0.43 states/eV per atom
Formation energy   -111 kJ/mol of formula units
Magnetization   0.00 μB/atom
Final energy   -30.098 eV/cell


Below is a relaxed structure of Ba2AsH2, with properties calculated at the PBE level.

a b c (Å): 7.944 7.944 7.944
angles (deg): 149.79 149.79 43.26
Positions (direct):
Ba 0.140 0.140 0.000
Ba 0.860 0.860 0.000
As 0.500 0.500 0.000
H 0.250 0.750 0.500
H 0.750 0.250 0.500

Output
D(E_F)   0.41 states/eV per atom
Energy above the lowest structure with this stoichiometry   0 kJ/mol of formula units
Magnetization   0.00 μB/atom
Final energy   -18.286 eV/cell


Below is a relaxed structure of ZnCuI3, with properties calculated at the PBE level.

a b c (Å): 4.157 8.874 11.560
angles (deg): 71.51 83.59 77.77
Positions (direct):
Zn 0.093 0.174 0.242
Zn 0.907 0.826 0.758
Cu 0.426 0.049 0.888
Cu 0.574 0.951 0.112
I 0.052 0.869 0.266
I 0.319 0.264 0.008
I 0.486 0.720 0.658
I 0.514 0.280 0.342
I 0.681 0.736 0.992
I 0.948 0.131 0.734

Output
D(E_F)   0.00 states/eV per atom
Energy above the lowest structure with this stoichiometry   0 kJ/mol of formula units
Formation energy from raw total energies   -0.3719 eV/atom
Magnetization   0.00 μB/atom
Final energy   -23.760 eV/cell


Below is a relaxed structure of Ca3La2Pd2, with properties calculated at the PBE level.

a b c (Å): 6.690 6.690 9.406
angles (deg): 113.32 113.32 34.60
Positions (direct):
Ca 0.000 0.000 0.000
Ca 0.120 0.120 0.430
Ca 0.880 0.880 0.570
La 0.328 0.328 0.186
La 0.672 0.672 0.814
Pd 0.322 0.322 0.772
Pd 0.678 0.678 0.228

Output
D(E_F)   1.12 states/eV per atom
Formation energy   -307 kJ/mol of formula units
Magnetization   0.00 μB/atom
Final energy   -29.430 eV/cell


Below is a relaxed structure of ZnCoRu2, with properties calculated at the PBE level.

a b c (Å): 8.654 8.654 8.654
angles (deg): 17.89 17.89 17.89
Positions (direct):
Zn 0.000 0.000 0.000
Co 0.748 0.748 0.748
Ru 0.245 0.245 0.245
Ru 0.495 0.495 0.495

Output
D(E_F)   0.97 states/eV per atom
Formation energy   44 kJ/mol of formula units
Magnetization   0.39 μB/atom
Final energy   -26.479 eV/cell


Below is a relaxed structure of Ce5PmPb6, with properties calculated at the PBE level.

a b c (Å): 9.272 9.272 9.272
angles (deg): 148.10 121.03 68.63
Positions (direct):
Ce 0.000 0.000 0.000
Ce 0.166 0.666 0.500
Ce 0.332 0.332 0.000
Ce 0.668 0.668 0.000
Ce 0.834 0.334 0.500
Pm 0.500 0.000 0.500
Pb 0.085 0.834 0.251
Pb 0.252 0.500 0.752
Pb 0.417 0.166 0.251
Pb 0.583 0.834 0.749
Pb 0.748 0.500 0.248
Pb 0.915 0.166 0.749

Output
D(E_F)   2.93 states/eV per atom
Formation energy   -480 kJ/mol of formula units
Energy above the lowest structure with this stoichiometry   0 kJ/mol of formula units
Magnetization   0.55 μB/atom
Final energy   -61.650 eV/cell


Which of these has the highest final energy?
KSiAu2